(P)
4
Lattice="0.000 3.852 3.852 3.852 0.000 3.852 3.852 3.852 0.000" Properties=species:S:1:pos:R:3 comment="CdSb2I | Alexandria via LeMat-Bulk | PBE | optimized geometry" magmom_total_mub_per_fu=0.0 spacegroup=Fm-3m rho_g_cm3=7.015 n_ef_per_ev_cell=2.8 pbc="T T T"
Cd 0.000 0.000 0.000
Sb 1.926 1.926 1.926
Sb 5.778 5.778 5.778
I 3.852 3.852 3.852

---

(Q)
8
Lattice="-2.254 2.254 12.541 2.254 -2.254 12.541 2.254 2.254 -12.541" Properties=species:S:1:pos:R:3 comment="CdSb2I | Alexandria via LeMat-Bulk | PBE | optimized geometry" magmom_total_mub_per_fu=0.0 spacegroup=I-42d rho_g_cm3=6.293 n_ef_per_ev_cell=4.1 pbc="T T T"
Cd 0.000 0.000 0.000
Cd 0.000 2.254 6.271
Sb 3.381 0.900 -3.135
Sb 0.900 1.127 3.135
Sb -1.127 1.353 9.406
Sb 1.353 1.127 15.677
I 2.254 0.000 6.271
I 0.000 0.000 12.541

---

In kJ/mol of atoms, relative to the most stable structure: (P) 27.9; (Q) 0.0.

---

(P)
5
Lattice="6.317 0.000 0.000 0.000 6.317 0.000 0.000 0.000 5.495" Properties=species:S:1:pos:R:3 comment="ScCdSbI2 | Alexandria via LeMat-Bulk | PBE | optimized geometry" magmom_total_mub_per_fu=0.0 spacegroup=P4/mmm rho_g_cm3=4.036 n_ef_per_ev_cell=3.5 pbc="T T T"
Sc 0.000 0.000 0.000
Cd 3.158 3.158 0.000
Sb 0.000 0.000 2.747
I 0.000 3.158 2.747
I 3.158 0.000 2.747

---

(Q)
5
Lattice="5.687 0.000 0.000 0.000 5.687 0.000 0.000 0.000 5.732" Properties=species:S:1:pos:R:3 comment="ScCdSbI2 | Alexandria via LeMat-Bulk | PBE | optimized geometry" magmom_total_mub_per_fu=0.3 spacegroup=P4/mmm rho_g_cm3=4.773 n_ef_per_ev_cell=5.0 pbc="T T T"
Sc 0.000 0.000 0.000
Cd 2.844 2.844 2.866
Sb 2.844 2.844 0.000
I 0.000 2.844 2.866
I 2.844 0.000 2.866

---

In kJ/mol of atoms, relative to the most stable structure: (P) 0.0; (Q) 15.0.